Entry w
The following is a DFT calculation (GGA-PBE) of MnNiOs2 after structural relaxation.

Symmetry: No. 10

Lattice parameters (Å, degrees): 4.4997 2.6868 4.6282 90.00 109.83 90.00
Closest atoms and distances in Å follow each position.
Element x y z (fractional)
1 Mn 0.0000 0.0000 0.0000  6 Os 2.62, 4 Ni 2.68, 2 Mn 2.69
2 Ni 0.0000 0.5000 0.5000  6 Os 2.62, 4 Mn 2.68, 2 Ni 2.69
3 Os 0.5000 0.0000 0.5000  4 Ni 2.62, 2 Mn 2.62, 6 Os 2.68-2.69
4 Os 0.5000 0.5000 0.0000  4 Mn 2.62, 2 Ni 2.62, 6 Os 2.68-2.69

Entry x
The following is a DFT calculation (GGA-PBE) of MnNiOs2 after structural relaxation.

Symmetry: No. 119

Lattice parameters (Å, degrees): 4.5772 4.5772 4.5772 131.99 131.99 70.24
Closest atoms and distances in Å follow each position.
Element x y z (fractional)
1 Mn 0.0000 0.0000 0.0000  8 Os 2.63-2.64, 4 Ni 2.64
2 Ni 0.2500 0.7500 0.5000  8 Os 2.63-2.64, 4 Mn 2.64
3 Os 0.5000 0.5000 0.0000  4 Mn 2.63, 4 Os 2.64, 4 Ni 2.64
4 Os 0.7500 0.2500 0.5000  4 Ni 2.63, 4 Mn 2.64, 4 Os 2.64

Entry y
The following is a DFT calculation (GGA-PBE) of MnNiOs2 after structural relaxation.

Symmetry: No. 47

Lattice parameters (Å, degrees): 2.7856 4.3899 4.4550 90.00 90.00 90.00
Closest atoms and distances in Å follow each position.
Element x y z (fractional)
1 Mn 0.0000 0.0000 0.0000  4 Os 2.60, 4 Ni 2.63, 2 Mn 2.79
2 Ni 0.5000 0.0000 0.5000  4 Os 2.60, 4 Mn 2.63, 2 Ni 2.79
3 Os 0.0000 0.5000 0.5000  4 Ni 2.60, 6 Os 2.63-2.79
4 Os 0.5000 0.5000 0.0000  4 Mn 2.60, 6 Os 2.63-2.79

Entry z
The following is a DFT calculation (GGA-PBE) of MnNiOs2 after structural relaxation.

Symmetry: No. 8

Lattice parameters (Å, degrees): 4.6011 4.6011 4.4996 100.05 100.05 33.97
Closest atoms and distances in Å follow each position.
Element x y z (fractional)
1 Mn 0.0000 0.0000 0.0000  7 Os 2.58-2.72, 3 Ni 2.59-2.61, 2 Mn 2.69
2 Ni 0.2511 0.2511 0.7769  3 Mn 2.59-2.61, 7 Os 2.62-2.69, 2 Ni 2.69
3 Os 0.5005 0.5005 0.5097  4 Mn 2.58-2.66, 5 Os 2.60-2.69, 3 Ni 2.67-2.69
4 Os 0.7496 0.7496 0.2753  5 Os 2.60-2.69, 4 Ni 2.62, 3 Mn 2.68-2.72

entry x is preferred energetically. Next in line: 37 meV per atom higher.

Entry w
The following is a DFT calculation (GGA-PBE) of MnNiOs2 after structural relaxation.

Symmetry: No. 12

Lattice parameters (Å, degrees): 4.4949 4.4949 4.6461 100.06 100.06 34.54
Closest atoms and distances in Å follow each position.
Element x y z (fractional)
1 Mn 0.0000 0.0000 0.0000  6 Os 2.59-2.65, 2 Mn 2.67, 4 Ni 2.68
2 Ni 0.5000 0.5000 0.5000  6 Os 2.59-2.63, 2 Ni 2.67, 4 Mn 2.68
3 Os 0.2532 0.2532 0.7485  3 Ni 2.59-2.63, 3 Mn 2.59-2.65, 6 Os 2.66-2.70
4 Os 0.7468 0.7468 0.2515  3 Ni 2.59-2.63, 3 Mn 2.59-2.65, 6 Os 2.66-2.70

Entry x
The following is a DFT calculation (GGA-PBE) of MnNiOs2 after structural relaxation.

Symmetry: No. 25

Lattice parameters (Å, degrees): 2.7079 3.7258 5.2229 90.00 90.00 90.00
Closest atoms and distances in Å follow each position.
Element x y z (fractional)
1 Mn 0.0000 0.0000 0.0000  6 Os 2.55-2.70, 4 Ni 2.60, 2 Mn 2.71
2 Ni 0.5000 0.5000 0.2295  4 Mn 2.60, 6 Os 2.61-2.67, 2 Ni 2.71
3 Os 0.0000 0.0000 0.4881  2 Mn 2.55-2.67, 6 Os 2.63-2.71, 4 Ni 2.67
4 Os 0.5000 0.5000 0.7307  2 Ni 2.61-2.62, 6 Os 2.63-2.71, 4 Mn 2.70

entry x is preferred energetically. Next in line: 44 meV per atom higher.

Entry w
The following is a DFT calculation (GGA-PBE) of MnNiOs2 after structural relaxation.

Symmetry: No. 225

Lattice parameters (Å, degrees): 4.1594 4.1594 4.1594 60.00 60.00 60.00
Closest atoms and distances in Å follow each position.
Element x y z (fractional)
1 Mn 0.0000 0.0000 0.0000  8 Os 2.55
2 Ni 0.5000 0.5000 0.5000  8 Os 2.55
3 Os 0.2500 0.2500 0.2500  4 Ni 2.55, 4 Mn 2.55
4 Os 0.7500 0.7500 0.7500  4 Ni 2.55, 4 Mn 2.55

Entry x
The following is a DFT calculation (GGA-PBE) of MnNiOs2 after structural relaxation.

Symmetry: No. 166

Lattice parameters (Å, degrees): 8.5990 8.5990 8.5990 17.78 17.78 17.78
Closest atoms and distances in Å follow each position.
Element x y z (fractional)
1 Mn 0.0000 0.0000 0.0000  6 Os 2.58, 6 Mn 2.66
2 Ni 0.5000 0.5000 0.5000  6 Os 2.64, 6 Ni 2.66
3 Os 0.2515 0.2515 0.2515  3 Mn 2.58, 3 Ni 2.64, 6 Os 2.66
4 Os 0.7485 0.7485 0.7485  3 Mn 2.58, 3 Ni 2.64, 6 Os 2.66

entry x is preferred energetically. Next in line: 234 meV per atom higher.